Entry 1:
Compound: SmU2FeC4
Source: Alexandria
Functional: PBE
Structure: optimized geometry

a b c (Å): 5.909 5.909 11.550
angles (deg): 90.00 90.00 145.17
Fractional coordinates of all 16 atoms:
Sm1 0.102 0.898 0.750
Sm2 0.898 0.102 0.250
U1 0.369 0.631 0.551
U2 0.369 0.631 0.949
U3 0.631 0.369 0.051
U4 0.631 0.369 0.449
Fe1 0.162 0.838 0.250
Fe2 0.838 0.162 0.750
C1 0.000 0.000 0.000
C2 0.000 0.000 0.500
C3 0.257 0.743 0.120
C4 0.257 0.743 0.380
C5 0.424 0.576 0.750
C6 0.576 0.424 0.250
C7 0.743 0.257 0.620
C8 0.743 0.257 0.880

Output
Total energy = -146.72 eV per cell
Total magnetization = 0.0 μB/f.u.
Calculated formation energy = -2.0 kcal/mol of atoms



Entry 2:
Compound: Cu2SiP
Source: Alexandria
Functional: PBE
Structure: optimized geometry

a b c (Å): 4.582 4.582 4.582
angles (deg): 131.73 130.60 71.55
Fractional coordinates of all 4 atoms:
Cu1 0.250 0.250 0.000
Cu2 0.750 0.750 0.000
Si1 0.500 0.000 0.500
P1 0.000 0.500 0.500

Output
Total energy = -18.02 eV per cell
Total magnetization = 0.0 μB/f.u.
Formation energy without anion corrections = 0.25 eV per atom



Entry 3:
Compound: DyZn10Rh2
Source: Alexandria
Functional: PBE
Structure: optimized geometry

a b c (Å): 5.465 6.719 6.743
angles (deg): 80.60 66.11 66.57
Fractional coordinates of all 13 atoms:
Dy1 0.000 0.000 0.000
Zn1 0.000 0.000 0.500
Zn2 0.009 0.643 0.339
Zn3 0.281 0.218 0.217
Zn4 0.348 0.644 0.661
Zn5 0.498 0.219 0.783
Zn6 0.500 0.000 0.500
Zn7 0.502 0.781 0.217
Zn8 0.652 0.356 0.339
Zn9 0.719 0.782 0.783
Zn10 0.991 0.357 0.661
Rh1 0.000 0.500 0.000
Rh2 0.500 0.500 0.000

Output
Total energy = -35.46 eV per cell
Total magnetization = 0.0 μB/f.u.
Calculated formation energy = -6.1 kcal/mol of atoms



Entry 4:
Compound: CaSm6Se8
Source: Alexandria
Functional: PBE
Structure: optimized geometry

a b c (Å): 8.327 8.327 8.327
angles (deg): 60.00 60.00 60.00
Fractional coordinates of all 15 atoms:
Ca1 0.000 0.000 0.000
Sm1 0.000 0.000 0.500
Sm2 0.000 0.500 0.000
Sm3 0.000 0.500 0.500
Sm4 0.500 0.000 0.000
Sm5 0.500 0.000 0.500
Sm6 0.500 0.500 0.000
Se1 0.250 0.250 0.250
Se2 0.251 0.251 0.749
Se3 0.251 0.749 0.251
Se4 0.251 0.749 0.749
Se5 0.749 0.251 0.251
Se6 0.749 0.251 0.749
Se7 0.749 0.749 0.251
Se8 0.750 0.750 0.750

Output
Total energy = -86.54 eV per cell
Total magnetization = 0.0 μB/f.u.
Formation energy without anion corrections = -1.89 eV per atom



Entry 5:
Compound: Sr2H3O2
Source: Alexandria
Functional: PBE
Structure: optimized geometry

a b c (Å): 4.302 4.302 5.237
angles (deg): 90.09 90.09 63.69
Fractional coordinates of all 7 atoms:
Sr1 0.172 0.172 0.242
Sr2 0.828 0.828 0.758
H1 0.472 0.472 0.562
H2 0.500 0.500 0.000
H3 0.528 0.528 0.438
O1 0.173 0.173 0.749
O2 0.827 0.827 0.251

Output
Total energy = -31.96 eV per cell
Total magnetization = 1.0 μB/f.u.



Entry 6:
Compound: RbTiV3
Source: Alexandria
Functional: PBE
Structure: optimized geometry

a b c (Å): 4.505 4.505 4.505
angles (deg): 90.00 90.00 90.00
Fractional coordinates of all 5 atoms:
Rb1 0.000 0.000 0.000
Ti1 0.500 0.500 0.500
V1 0.000 0.000 0.500
V2 0.000 0.500 0.000
V3 0.500 0.000 0.000

Output
Total energy = -23.79 eV per cell
Total magnetization = 1.3 μB/f.u.
Distance to the lowest polymorph of the same formula = 0.8947 eV per atom
Calculated formation energy = 57.3 kcal/mol of atoms



Entry 7:
Compound: Pr4NiSeBr2
Source: Alexandria
Functional: PBE
Structure: optimized geometry

a b c (Å): 7.550 4.080 7.776
angles (deg): 90.00 107.28 90.00
Fractional coordinates of all 8 atoms:
Pr1 0.211 0.000 0.203
Pr2 0.254 0.500 0.786
Pr3 0.746 0.500 0.214
Pr4 0.789 0.000 0.797
Ni1 0.000 0.500 0.000
Se1 0.500 0.000 0.000
Br1 0.000 0.000 0.500
Br2 0.500 0.500 0.500

Output
Total energy = -41.01 eV per cell
Total magnetization = 0.0 μB/f.u.
Formation energy without anion corrections = -1.16 eV per atom



Entry 8:
Compound: LiLaTl2
Source: Alexandria
Functional: PBE
Structure: optimized geometry

a b c (Å): 5.773 5.773 5.773
angles (deg): 130.52 129.43 73.46
Fractional coordinates of all 4 atoms:
Li1 0.000 0.000 0.000
La1 0.747 0.247 0.500
Tl1 0.263 0.763 0.500
Tl2 0.500 0.500 0.000

Output
Total energy = -12.48 eV per cell
Total magnetization = 0.0 μB/f.u.
Calculated formation energy = -5.2 kcal/mol of atoms